No. 1
The following is a DFT calculation (GGA-PBE) of crystalline Ca4HRh at its relaxed geometry.

E = -3.41 eV/atom
volume = 322.2 Å³ per cell
space-group type = P2_1/m (11)
total magnetic moment = 0.00 μB per formula unit

The structure in POSCAR format:
```
Ca4HRh
1.0
5.782 -0.889 0.000
-4.024 6.479 0.000
0.000 0.000 9.509
Ca Rh H
8 2 2
Cartesian
-1.153 1.862 9.143
2.911 3.729 0.366
0.069 4.965 2.377
2.911 3.729 4.389
1.317 1.241 2.377
0.441 4.350 7.132
-1.153 1.862 5.121
1.690 0.625 7.132
3.295 3.102 7.132
-1.537 2.488 2.377
-3.454 5.571 2.377
5.213 0.020 7.132
```

=====

No. 2
The following is a DFT calculation (GGA-PBE) of crystalline Ca3H7Rh2 at its relaxed geometry.

E = -4.22 eV/atom
volume = 133.9 Å³ per cell
space-group type = I4/mmm (139)
total magnetic moment = 0.00 μB per formula unit

The structure in POSCAR format:
```
Ca3H7Rh2
1.0
3.646 0.000 -0.685
-0.129 3.644 -0.685
0.006 0.007 10.078
Rh H Ca
2 7 3
Cartesian
3.186 3.301 6.912
0.337 0.350 1.796
3.263 1.492 7.320
0.261 2.159 1.387
0.667 0.691 3.551
2.148 0.337 1.387
0.000 0.000 0.000
2.857 2.959 5.156
1.376 3.314 7.320
2.376 2.461 2.597
1.759 1.822 -0.685
1.148 1.190 6.110
```

=====

No. 3
The following is a DFT calculation (GGA-PBE) of crystalline CaHRh3 at its relaxed geometry.

E = -5.66 eV/atom
volume = 67.4 Å³ per cell
space-group type = Pm-3m (221)
distance to the lowest polymorph of the same formula = 0.00 eV/f.u.
total magnetic moment = 0.00 μB per formula unit

The structure in POSCAR format:
```
CaHRh3
1.0
4.070 0.000 0.000
0.000 4.070 0.000
0.000 0.000 4.070
Rh Ca H
3 1 1
Cartesian
2.035 0.000 0.000
0.000 0.000 2.035
0.000 2.035 0.000
2.035 2.035 2.035
0.000 0.000 0.000
```

=====

No. 4
The following is a DFT calculation (GGA-PBE) of crystalline CaH3Rh at its relaxed geometry.

E = -4.30 eV/atom
volume = 229.4 Å³ per cell
space-group type = P2_1/c (14)
total magnetic moment = 0.00 μB per formula unit

The structure in POSCAR format:
```
CaH3Rh
1.0
-5.056 -6.507 -15.896
-3.620 -2.551 2.196
0.006 4.085 4.757
Ca H Rh
4 12 4
Cartesian
-6.930 -6.564 -10.579
-4.317 -1.210 -0.302
-4.353 -3.763 -8.640
-1.740 1.591 1.636
-4.904 -3.117 -5.070
-6.599 -7.031 -12.749
-6.234 -4.444 -9.861
-3.765 -1.856 -3.873
-2.436 -0.529 0.919
-3.160 -0.471 -5.742
-5.185 -6.368 -14.873
-2.071 2.057 3.807
-5.510 -4.502 -3.200
-5.401 -2.673 -1.615
-3.485 1.395 5.931
-3.269 -2.300 -7.328
-5.079 -2.805 -3.261
-7.595 -8.090 -13.597
-3.591 -2.169 -5.681
-1.075 3.117 4.655
```

=====

No. 5
The following is a DFT calculation (GGA-PBE) of crystalline CaH2Rh at its relaxed geometry.

E = -4.41 eV/atom
volume = 98.3 Å³ per cell
space-group type = I-42d (122)
distance to the lowest polymorph of the same formula = 0.69 eV/f.u.
total magnetic moment = 0.00 μB per formula unit

The structure in POSCAR format:
```
CaH2Rh
1.0
4.354 0.000 0.000
0.000 4.354 0.000
2.177 2.177 5.186
H Rh Ca
4 2 2
Cartesian
5.443 1.712 3.890
3.266 2.642 3.890
3.889 1.089 1.297
4.819 3.266 1.297
4.354 2.177 2.593
0.000 0.000 0.000
2.177 4.354 2.593
2.177 2.177 0.000
```

=====

No. 6
The following is a DFT calculation (GGA-PBE) of crystalline Ca2H8Rh at its relaxed geometry.

E = -3.80 eV/atom
volume = 106.9 Å³ per cell
space-group type = C2/m (12)
total magnetic moment = 0.00 μB per formula unit

The structure in POSCAR format:
```
Ca2H8Rh
1.0
-1.452 -1.755 2.822
4.043 -0.769 1.602
-1.492 6.972 1.237
H Ca Rh
8 2 1
Cartesian
0.614 4.757 3.273
-1.435 4.690 2.178
0.485 -0.308 2.388
1.159 1.711 3.990
0.433 0.006 0.226
0.665 4.443 5.435
2.533 -0.242 3.484
-0.060 2.738 1.671
2.002 1.430 1.920
-0.904 3.018 3.742
-0.726 -0.877 1.411
```

=====

No. 7
The following is a DFT calculation (GGA-PBE) of crystalline CaH3Rh at its relaxed geometry.

E = -4.28 eV/atom
volume = 210.6 Å³ per cell
space-group type = C2/c (15)
total magnetic moment = 0.00 μB per formula unit

The structure in POSCAR format:
```
CaH3Rh
1.0
11.251 0.000 1.308
4.327 4.424 -1.613
-4.327 4.424 1.613
H Ca Rh
12 4 4
Cartesian
0.708 1.941 -0.037
6.527 5.254 0.597
7.484 7.746 1.078
4.917 6.366 0.691
10.349 0.830 1.364
0.901 8.019 -0.056
1.859 5.526 0.424
4.724 3.594 0.710
6.334 2.483 0.617
9.392 3.322 0.884
10.543 6.907 1.345
3.766 1.102 0.230
8.891 5.559 0.789
7.986 1.135 1.173
2.360 3.289 0.519
3.265 7.714 0.135
10.602 2.324 0.174
4.976 5.103 -0.479
6.274 3.746 1.787
0.649 6.524 1.133
```

=====

No. 8
The following is a DFT calculation (GGA-PBE) of crystalline CaH3Rh at its relaxed geometry.

E = -4.17 eV/atom
volume = 105.2 Å³ per cell
space-group type = C2/m (12)
total magnetic moment = 0.00 μB per formula unit

The structure in POSCAR format:
```
CaH3Rh
1.0
-12.005 -7.068 -2.997
-3.168 -5.123 -1.204
3.648 3.233 3.738
H Rh Ca
6 2 2
Cartesian
1.161 0.755 2.361
-4.377 -2.781 0.773
-7.725 -4.826 -0.119
-3.800 -4.132 -0.345
-7.148 -6.177 -1.236
-12.686 -9.714 -2.824
-10.963 -9.656 -3.108
-0.562 0.698 2.645
-6.654 -3.155 0.925
-4.871 -5.803 -1.389
```

=====

No. 9
The following is a DFT calculation (GGA-PBE) of crystalline CaH3Rh at its relaxed geometry.

E = -4.16 eV/atom
volume = 211.6 Å³ per cell
space-group type = Fd-3m (227)
total magnetic moment = 0.00 μB per formula unit

The structure in POSCAR format:
```
CaH3Rh
1.0
-5.765 -0.827 -3.289
-5.241 3.911 1.403
-2.020 4.598 -4.417
H Ca Rh
12 4 4
Cartesian
-9.285 5.788 -2.993
-4.802 4.129 -3.633
-6.798 5.618 -3.099
-10.054 7.538 -4.675
-11.480 5.473 -4.245
-10.254 5.735 -6.461
-6.997 3.814 -4.885
-8.059 6.050 -5.209
-9.485 3.984 -4.779
-6.228 2.064 -3.204
-8.224 3.553 -2.669
-6.029 3.867 -1.417
-4.511 0.547 -2.432
-1.628 0.960 -0.788
-2.638 3.259 -2.997
-4.249 2.916 -0.086
-5.259 5.215 -2.295
-7.131 2.502 -1.730
-5.521 2.846 -4.641
-8.141 4.801 -3.939
```

=====

No. 10
The following is a DFT calculation (GGA-PBE) of crystalline CaScH8Rh2 at its relaxed geometry.

E = -4.45 eV/atom
volume = 113.4 Å³ per cell
space-group type = R-3 (148)
total magnetic moment = 0.00 μB per formula unit

The structure in POSCAR format:
```
CaScH8Rh2
1.0
4.979 0.000 0.000
2.489 4.312 0.000
2.489 1.437 5.281
H Rh Ca Sc
8 2 1 1
Cartesian
3.619 3.002 4.463
4.409 4.115 0.818
6.338 2.748 0.818
7.468 4.312 3.062
4.189 1.761 0.818
2.489 1.437 2.219
5.549 1.634 4.463
5.769 3.989 4.463
2.489 1.437 0.452
7.468 4.312 4.829
4.979 2.875 2.641
0.000 0.000 0.000
```

=====

No. 11
The following is a DFT calculation (GGA-PBE) of crystalline Ca2ScH12Rh3 at its relaxed geometry.

E = -4.44 eV/atom
volume = 167.9 Å³ per cell
space-group type = R-3m (166)
total magnetic moment = 0.00 μB per formula unit

The structure in POSCAR format:
```
Ca2ScH12Rh3
1.0
-5.604 -0.003 1.836
-3.511 -3.256 -3.441
-1.555 -5.097 2.525
H Rh Sc Ca
12 3 1 2
Cartesian
-6.611 -2.912 -0.826
-2.134 -3.532 1.331
-4.076 -1.089 1.000
-6.423 -2.469 1.344
-4.247 -5.887 -0.424
-4.059 -5.444 1.746
-7.598 -5.707 2.451
-6.594 -7.267 -0.081
-8.536 -4.824 -0.411
-5.201 -4.369 -1.738
-3.073 -2.649 -1.531
-5.469 -3.987 2.658
-2.802 -0.002 0.918
-1.756 -1.628 -1.721
-0.778 -2.548 1.262
0.000 0.000 0.000
-6.643 -5.202 0.572
-4.027 -3.154 0.347
```

=====

No. 12
The following is a DFT calculation (GGA-PBE) of crystalline CaHRhSe2 at its relaxed geometry.

E = -4.42 eV/atom
volume = 82.1 Å³ per cell
space-group type = P4/mmm (123)
distance to the lowest polymorph of the same formula = 1.00 eV/f.u.
total magnetic moment = 0.00 μB per formula unit

The structure in POSCAR format:
```
CaHRhSe2
1.0
-1.671 4.439 -1.112
-1.800 0.062 2.952
3.809 2.005 2.281
Se Rh Ca H
2 1 1 1
Cartesian
-0.836 2.219 -0.556
1.905 1.003 1.140
-0.900 0.031 1.476
0.169 3.253 2.060
0.000 0.000 0.000
```